First-principles (PBE) data for a relaxed structure of NaYPb, as listed in Alexandria. Values from VASP.

```
&SYSTEM
  ibrav = 0, nat = 12, ntyp = 3
/
ATOMIC_SPECIES
Na 22.99 Na.upf
Y 88.91 Y.upf
Pb 207.20 Pb.upf
CELL_PARAMETERS angstrom
7.678 0.000 0.000
0.000 4.722 0.000
0.000 0.000 9.532
ATOMIC_POSITIONS crystal
Na 0.133 0.250 0.047
Na 0.367 0.750 0.547
Na 0.633 0.250 0.453
Na 0.867 0.750 0.953
Y 0.053 0.250 0.675
Y 0.447 0.750 0.175
Y 0.553 0.250 0.825
Y 0.947 0.750 0.325
Pb 0.224 0.250 0.362
Pb 0.276 0.750 0.862
Pb 0.724 0.250 0.138
Pb 0.776 0.750 0.638
```

formation energy from the elements	-0.31	eV per atom
magnetization	0.000	μB per atom
symmetry	Pnma (62)
total energy	-4.14	eV/atom